# GdEr2Ga, relaxed, DFT PBE
# Crystal system = trigonal
# Energy relative to the elements = 0.148 eV per atom
# E_tot = -25.64 eV/f.u.
# Space-group type = R-3m, No. 166
data_GdEr2Ga
_chemical_formula_sum 'Gd1 Er2 Ga1'
_cell_length_a 3.4690
_cell_length_b 3.4690
_cell_length_c 11.7544
_cell_angle_alpha 81.51
_cell_angle_beta 81.51
_cell_angle_gamma 60.00
_symmetry_space_group_name_H-M 'P 1'
_symmetry_Int_Tables_number 1
loop_
_symmetry_equiv_pos_as_xyz
'x,y,z'
loop_
_atom_site_label
_atom_site_type_symbol
_atom_site_fract_x
_atom_site_fract_y
_atom_site_fract_z
_atom_site_occupancy
Gd1 Gd 0.5000 0.5000 0.5000 1
Ga1 Ga 0.0000 0.0000 0.0000 1
Er1 Er 0.0852 0.0852 0.7444 1
Er2 Er 0.9148 0.9148 0.2556 1

# BiBRu2, relaxed, DFT PBE
# Crystal system = cubic
# Energy relative to the elements = 0.802 eV per atom
# E_tot = -25.90 eV/f.u.
# Space-group type = Fm-3m, No. 225
data_BiBRu2
_chemical_formula_sum 'Bi1 B1 Ru2'
_cell_length_a 4.3773
_cell_length_b 4.3773
_cell_length_c 4.3773
_cell_angle_alpha 60.00
_cell_angle_beta 60.00
_cell_angle_gamma 60.00
_symmetry_space_group_name_H-M 'P 1'
_symmetry_Int_Tables_number 1
loop_
_symmetry_equiv_pos_as_xyz
'x,y,z'
loop_
_atom_site_label
_atom_site_type_symbol
_atom_site_fract_x
_atom_site_fract_y
_atom_site_fract_z
_atom_site_occupancy
Ru1 Ru 0.2500 0.2500 0.2500 1
Ru2 Ru 0.7500 0.7500 0.7500 1
B1 B 0.0000 0.0000 0.0000 1
Bi1 Bi 0.5000 0.5000 0.5000 1

# Tb6MgPd2, relaxed, DFT PBE
# Crystal system = orthorhombic
# Energy relative to the elements = -0.422 eV per atom
# E_tot = -43.56 eV/f.u.
# Space-group type = Immm, No. 71
data_Tb6MgPd2
_chemical_formula_sum 'Tb12 Mg2 Pd4'
_cell_length_a 8.6246
_cell_length_b 8.6246
_cell_length_c 8.6246
_cell_angle_alpha 104.30
_cell_angle_beta 111.29
_cell_angle_gamma 112.94
_symmetry_space_group_name_H-M 'P 1'
_symmetry_Int_Tables_number 1
loop_
_symmetry_equiv_pos_as_xyz
'x,y,z'
loop_
_atom_site_label
_atom_site_type_symbol
_atom_site_fract_x
_atom_site_fract_y
_atom_site_fract_z
_atom_site_occupancy
Tb1 Tb 0.5271 0.7111 0.8161 1
Tb2 Tb 0.4729 0.2889 0.1839 1
Tb3 Tb 0.1050 0.2889 0.8161 1
Tb4 Tb 0.8950 0.7111 0.1839 1
Tb5 Tb 0.8030 0.7629 0.5659 1
Tb6 Tb 0.1970 0.2371 0.4341 1
Tb7 Tb 0.1970 0.7629 0.9599 1
Tb8 Tb 0.8030 0.2371 0.0401 1
Tb9 Tb 0.6994 0.3771 0.6778 1
Tb10 Tb 0.3006 0.6229 0.3222 1
Tb11 Tb 0.3006 0.9784 0.6778 1
Tb12 Tb 0.6994 0.0216 0.3222 1
Mg1 Mg 0.0000 0.5000 0.5000 1
Mg2 Mg 0.0000 0.0000 0.0000 1
Pd1 Pd 0.5000 0.3692 0.8692 1
Pd2 Pd 0.5000 0.6308 0.1308 1
Pd3 Pd 0.6604 0.0000 0.6604 1
Pd4 Pd 0.3396 0.0000 0.3396 1

# BaCaBeO2, relaxed, DFT PBE
# Formation energy (no corrections) = 0.161 eV per atom
# Crystal system = tetragonal
# E_tot = -16.76 eV/f.u.
# Space-group type = P4/mmm, No. 123
data_BaCaBeO2
_chemical_formula_sum 'Ba1 Ca1 Be1 O2'
_cell_length_a 4.5574
_cell_length_b 8.2860
_cell_length_c 4.5574
_cell_angle_alpha 90.00
_cell_angle_beta 90.00
_cell_angle_gamma 90.00
_symmetry_space_group_name_H-M 'P 1'
_symmetry_Int_Tables_number 1
loop_
_symmetry_equiv_pos_as_xyz
'x,y,z'
loop_
_atom_site_label
_atom_site_type_symbol
_atom_site_fract_x
_atom_site_fract_y
_atom_site_fract_z
_atom_site_occupancy
Be1 Be 0.5000 0.5000 0.5000 1
Ca1 Ca 0.0000 0.5000 0.0000 1
Ba1 Ba 0.0000 0.0000 0.0000 1
O1 O 0.0000 0.0000 0.5000 1
O2 O 0.5000 0.0000 0.0000 1

# Ta2TcBr, relaxed, DFT PBE
# Formation energy (no corrections) = 0.756 eV per atom
# Crystal system = tetragonal
# E_tot = -32.72 eV/f.u.
# Space-group type = I-4m2, No. 119
data_Ta2TcBr
_chemical_formula_sum 'Ta2 Tc1 Br1'
_cell_length_a 5.4577
_cell_length_b 5.4577
_cell_length_c 5.4577
_cell_angle_alpha 138.94
_cell_angle_beta 138.94
_cell_angle_gamma 59.46
_symmetry_space_group_name_H-M 'P 1'
_symmetry_Int_Tables_number 1
loop_
_symmetry_equiv_pos_as_xyz
'x,y,z'
loop_
_atom_site_label
_atom_site_type_symbol
_atom_site_fract_x
_atom_site_fract_y
_atom_site_fract_z
_atom_site_occupancy
Tc1 Tc 0.5000 0.5000 0.0000 1
Br1 Br 0.7500 0.2500 0.5000 1
Ta1 Ta 0.0000 0.0000 0.0000 1
Ta2 Ta 0.2500 0.7500 0.5000 1